VASP calculation (GGA-PBE) on an optimized crystal structure of KLaW.

The structure in extended XYZ format:
```
3
Lattice="7.1783 0.0267 -0.0155 4.9606 5.1885 0.0155 -5.6009 -3.6982 2.5460" Properties=species:S:1:pos:R:3 pbc="T T T"
K 0.1238 0.0532 0.0000
La 3.4489 1.4818 0.0000
W 8.5662 3.6803 0.0000
```

Values from the calculation:
energy above the lowest structure with this stoichiometry	0.088	eV/atom
ΔH_f (0 K)	1.179	eV/atom

---

VASP calculation (GGA-PBE) on an optimized crystal structure of K3LaW.

The structure in extended XYZ format:
```
5
Lattice="-2.1293 1.0998 -5.6013 0.8558 -5.8493 -1.4738 -5.6437 -1.3019 1.8898" Properties=species:S:1:pos:R:3 pbc="T T T"
K 0.4279 -2.9246 -0.7369
K -2.8219 -0.6509 0.9449
K -1.0646 0.5499 -2.8007
W -3.4586 -3.0257 -2.5926
La 0.0000 0.0000 0.0000
```

Values from the calculation:
energy above the lowest structure with this stoichiometry	0.573	eV/atom
ΔH_f (0 K)	2.679	eV/atom

---

VASP calculation (GGA-PBE) on an optimized crystal structure of KLaZn2W.

The structure in extended XYZ format:
```
5
Lattice="5.0533 0.0000 0.0000 0.0000 5.2208 0.0000 0.0000 0.0000 5.0533" Properties=species:S:1:pos:R:3 pbc="T T T"
Zn 0.0000 0.0000 2.5267
Zn 2.5267 0.0000 0.0000
K 0.0000 2.6104 0.0000
W 0.0000 0.0000 0.0000
La 2.5267 2.6104 2.5267
```

Values from the calculation:
ΔH_f (0 K)	1.094	eV/atom

---

VASP calculation (GGA-PBE) on an optimized crystal structure of KLa2Y.

The structure in extended XYZ format:
```
4
Lattice="-2.3503 -4.4008 0.1651 2.5355 -1.2645 2.3887 -2.4940 1.6807 9.2951" Properties=species:S:1:pos:R:3 pbc="T T T"
K -1.1423 -1.8892 8.8452
La 2.2161 -1.0775 2.8271
La -1.1085 -2.1294 2.9258
Y 0.2821 0.0550 5.4814
```

Values from the calculation:
energy above the lowest structure with this stoichiometry	0.170	eV/atom
ΔH_f (0 K)	0.317	eV/atom

---

VASP calculation (GGA-PBE) on an optimized crystal structure of K2LaY.

The structure in extended XYZ format:
```
4
Lattice="6.3202 0.0000 0.0000 0.0000 6.3202 0.0000 0.0000 0.0000 4.4867" Properties=species:S:1:pos:R:3 pbc="T T T"
K 0.0000 0.0000 0.0000
K 3.1601 3.1601 0.0000
La 3.1601 0.0000 2.2434
Y 0.0000 3.1601 2.2434
```

Values from the calculation:
energy above the lowest structure with this stoichiometry	0.530	eV/atom
ΔH_f (0 K)	0.764	eV/atom

---

VASP calculation (GGA-PBE) on an optimized crystal structure of KLa2Y.

The structure in extended XYZ format:
```
4
Lattice="-1.3156 4.4679 5.8008 -5.9209 -1.2906 4.3151 6.5679 -2.1106 -2.7839" Properties=species:S:1:pos:R:3 pbc="T T T"
K -1.5249 -0.8890 3.3494
La -7.1334 3.1321 9.9718
La 0.8515 1.9579 3.9892
Y -3.7165 1.6319 5.1953
```

Values from the calculation:
energy above the lowest structure with this stoichiometry	0.225	eV/atom
ΔH_f (0 K)	0.372	eV/atom

---

VASP calculation (GGA-PBE) on an optimized crystal structure of KLa2Y.

The structure in extended XYZ format:
```
4
Lattice="3.8697 0.0000 0.0000 0.0000 6.3415 0.0000 0.0000 0.0000 6.3846" Properties=species:S:1:pos:R:3 pbc="T T T"
K 0.0000 3.1708 3.1923
La 0.0000 0.0000 0.0000
La 1.9349 3.1708 0.0000
Y 1.9349 0.0000 3.1923
```

Values from the calculation:
energy above the lowest structure with this stoichiometry	0.273	eV/atom
ΔH_f (0 K)	0.421	eV/atom

---

VASP calculation (GGA-PBE) on an optimized crystal structure of KLa2Y.

The structure in extended XYZ format:
```
4
Lattice="6.5026 -0.0011 0.0022 5.4991 3.4703 0.0022 0.7799 0.2254 7.1279" Properties=species:S:1:pos:R:3 pbc="T T T"
K 3.1954 0.9237 1.7831
La 0.8563 0.2475 6.8297
La 6.3144 1.8253 3.8643
Y 9.5862 2.7710 5.3492
```

Values from the calculation:
energy above the lowest structure with this stoichiometry	0.179	eV/atom
ΔH_f (0 K)	0.326	eV/atom

---

VASP calculation (GGA-PBE) on an optimized crystal structure of K2LaY.

The structure in extended XYZ format:
```
4
Lattice="-7.2064 1.1547 -3.5611 1.2660 -3.2919 7.3149 -1.5689 2.4965 2.2428" Properties=species:S:1:pos:R:3 pbc="T T T"
K 0.0000 0.0000 0.0000
K -2.9702 -1.0686 1.8769
La -4.3876 1.8256 -0.6591
Y -0.1514 -0.3977 4.7788
```

Values from the calculation:
energy above the lowest structure with this stoichiometry	0.210	eV/atom
ΔH_f (0 K)	0.444	eV/atom

---

VASP calculation (GGA-PBE) on an optimized crystal structure of KLa2Y.

The structure in extended XYZ format:
```
4
Lattice="6.6151 0.0084 -0.0225 5.6096 3.5060 -0.0225 1.1403 0.3278 6.8634" Properties=species:S:1:pos:R:3 pbc="T T T"
K 3.3352 0.9588 1.7649
La 1.2507 0.3596 6.5619
La 10.0335 2.8845 5.1768
Y 6.5684 1.8883 3.5873
```

Values from the calculation:
energy above the lowest structure with this stoichiometry	0.193	eV/atom
ΔH_f (0 K)	0.340	eV/atom

---

VASP calculation (GGA-PBE) on an optimized crystal structure of KLa2Y2.

The structure in extended XYZ format:
```
10
Lattice="10.3346 0.0000 0.0000 0.0000 10.3346 0.0000 0.0000 0.0000 3.7481" Properties=species:S:1:pos:R:3 pbc="T T T"
Y 1.7422 6.9095 1.8741
Y 6.9095 8.5924 1.8741
Y 8.5924 3.4251 1.8741
Y 3.4251 1.7422 1.8741
K 0.0000 0.0000 0.0000
K 5.1673 5.1673 0.0000
La 3.9221 9.0895 0.0000
La 9.0895 6.4125 0.0000
La 6.4125 1.2452 0.0000
La 1.2452 3.9221 0.0000
```

Values from the calculation:
energy above the lowest structure with this stoichiometry	0.034	eV/atom
ΔH_f (0 K)	0.323	eV/atom

---

VASP calculation (GGA-PBE) on an optimized crystal structure of KLa2Y.

The structure in extended XYZ format:
```
4
Lattice="3.7082 0.0000 0.0000 0.0000 3.7082 0.0000 0.0000 0.0000 11.9168" Properties=species:S:1:pos:R:3 pbc="T T T"
K 1.8541 1.8541 8.8445
La 0.0000 0.0000 0.5277
La 1.8541 1.8541 3.0572
Y 0.0000 0.0000 5.4458
```

Values from the calculation:
energy above the lowest structure with this stoichiometry	0.059	eV/atom
ΔH_f (0 K)	0.207	eV/atom

---

VASP calculation (GGA-PBE) on an optimized crystal structure of KLa2Y.

The structure in extended XYZ format:
```
4
Lattice="3.6563 0.0000 0.0000 0.0000 3.6563 0.0000 0.0000 0.0000 12.2512" Properties=species:S:1:pos:R:3 pbc="T T T"
K 1.8281 1.8281 9.1884
La 0.0000 0.0000 0.5041
La 0.0000 0.0000 5.6216
Y 1.8281 1.8281 3.0628
```

Values from the calculation:
energy above the lowest structure with this stoichiometry	0.038	eV/atom
ΔH_f (0 K)	0.185	eV/atom

---

VASP calculation (GGA-PBE) on an optimized crystal structure of KLa2Y.

The structure in extended XYZ format:
```
4
Lattice="0.0000 4.2984 4.2984 4.2984 0.0000 4.2984 4.2984 4.2984 0.0000" Properties=species:S:1:pos:R:3 pbc="T T T"
Y 4.2984 4.2984 4.2984
K 0.0000 0.0000 0.0000
La 2.1492 2.1492 2.1492
La 6.4475 6.4475 6.4475
```

Values from the calculation:
energy above the lowest structure with this stoichiometry	0.318	eV/atom
ΔH_f (0 K)	0.466	eV/atom

---

VASP calculation (GGA-PBE) on an optimized crystal structure of KLa2Y.

The structure in extended XYZ format:
```
4
Lattice="-4.8930 1.8523 -3.6638 -3.3541 -5.0906 1.9056 -1.4274 2.0402 2.9377" Properties=species:S:1:pos:R:3 pbc="T T T"
K -2.3907 -1.5252 2.4217
La 0.0000 0.0000 0.0000
La -4.1235 -1.6192 -0.8791
Y -3.1602 1.9463 -0.3631
```

Values from the calculation:
energy above the lowest structure with this stoichiometry	0.256	eV/atom
ΔH_f (0 K)	0.403	eV/atom